Entry 1:
# Fe2NiSe PBE-GGA optimized geometry
data_Fe2NiSe
_space_group_name_H-M_alt 'P 1'
_space_group_IT_number 1
_space_group_name_Hall 'P 1'
_cell_length_a 4.721
_cell_length_b 4.721
_cell_length_c 4.721
_cell_angle_alpha 135.27
_cell_angle_beta 135.27
_cell_angle_gamma 65.10
loop_
_atom_site_label
_atom_site_fract_x
_atom_site_fract_y
_atom_site_fract_z
Fe1 0.250 0.750 0.500
Fe2 0.750 0.250 0.500
Ni1 0.000 0.000 0.000
Se1 0.500 0.500 0.000
# SG = I4/mmm
# Uncorrected formation energy = 0.15 eV per atom
# Crystal system = tetragonal
# ρ = 8.062 Mg/m³
# Magnetization = 1.491 μB per atom
# Final energy = -25.60 eV/f.u.

---

Entry 2:
# LaInGeRh3 PBE-GGA optimized geometry
data_LaInGeRh3
_space_group_name_H-M_alt 'P 1'
_space_group_IT_number 1
_space_group_name_Hall 'P 1'
_cell_length_a 8.690
_cell_length_b 8.690
_cell_length_c 5.709
_cell_angle_alpha 90.00
_cell_angle_beta 90.00
_cell_angle_gamma 141.92
loop_
_atom_site_label
_atom_site_fract_x
_atom_site_fract_y
_atom_site_fract_z
La1 0.242 0.758 0.750
La2 0.758 0.242 0.250
In1 0.108 0.892 0.250
In2 0.892 0.108 0.750
Ge1 0.416 0.584 0.250
Ge2 0.584 0.416 0.750
Rh1 0.248 0.248 0.000
Rh2 0.248 0.248 0.500
Rh3 0.268 0.732 0.250
Rh4 0.732 0.268 0.750
Rh5 0.752 0.752 0.000
Rh6 0.752 0.752 0.500
# SG = Cmcm
# Crystal system = orthorhombic
# Formation energy = -462 meV/atom
# ρ = 7.933 Mg/m³
# Magnetization = 0.000 μB per atom
# Final energy = -37.11 eV/f.u.

---

Entry 3:
# NdAlAgHg PBE-GGA optimized geometry
data_NdAlAgHg
_space_group_name_H-M_alt 'P 1'
_space_group_IT_number 1
_space_group_name_Hall 'P 1'
_cell_length_a 5.033
_cell_length_b 5.033
_cell_length_c 5.033
_cell_angle_alpha 60.00
_cell_angle_beta 60.00
_cell_angle_gamma 60.00
loop_
_atom_site_label
_atom_site_fract_x
_atom_site_fract_y
_atom_site_fract_z
Nd1 0.000 0.000 0.000
Al1 0.500 0.500 0.500
Ag1 0.250 0.250 0.250
Hg1 0.750 0.750 0.750
# SG = F-43m
# Crystal system = cubic
# Formation energy = -300 meV/atom
# ρ = 8.835 Mg/m³
# Magnetization = 0.000 μB per atom
# Final energy = -12.86 eV/f.u.

---

Entry 4:
# ZrScSe2 PBE-GGA optimized geometry
data_ZrScSe2
_space_group_name_H-M_alt 'P 1'
_space_group_IT_number 1
_space_group_name_Hall 'P 1'
_cell_length_a 5.294
_cell_length_b 5.294
_cell_length_c 4.660
_cell_angle_alpha 94.94
_cell_angle_beta 94.94
_cell_angle_gamma 37.87
loop_
_atom_site_label
_atom_site_fract_x
_atom_site_fract_y
_atom_site_fract_z
Zr1 0.000 0.000 0.000
Sc1 0.231 0.231 0.555
Se1 0.503 0.503 0.508
Se2 0.726 0.726 0.054
# SG = Cm
# Uncorrected formation energy = -1.21 eV per atom
# Crystal system = monoclinic
# ρ = 6.117 Mg/m³
# Magnetization = 0.000 μB per atom
# Distance to the lowest polymorph of the same formula = 209 meV per atom
# Final energy = -26.68 eV/f.u.

---

Entry 5:
# CaMg6Ni6 PBE-GGA optimized geometry
data_CaMg6Ni6
_space_group_name_H-M_alt 'P 1'
_space_group_IT_number 1
_space_group_name_Hall 'P 1'
_cell_length_a 6.820
_cell_length_b 6.820
_cell_length_c 6.820
_cell_angle_alpha 135.71
_cell_angle_beta 99.17
_cell_angle_gamma 97.17
loop_
_atom_site_label
_atom_site_fract_x
_atom_site_fract_y
_atom_site_fract_z
Ca1 0.000 0.000 0.000
Mg1 0.187 0.687 0.500
Mg2 0.333 0.000 0.333
Mg3 0.346 0.346 0.000
Mg4 0.654 0.654 0.000
Mg5 0.667 0.000 0.667
Mg6 0.813 0.313 0.500
Ni1 0.000 0.000 0.500
Ni2 0.000 0.500 0.000
Ni3 0.237 0.500 0.737
Ni4 0.500 0.000 0.000
Ni5 0.500 0.500 0.500
Ni6 0.763 0.500 0.263
# SG = Immm
# Crystal system = orthorhombic
# Formation energy = -167 meV/atom
# ρ = 4.355 Mg/m³
# Magnetization = 0.000 μB per atom
# Final energy = -48.43 eV/f.u.

---

Entry 6:
# LaHoIrRh PBE-GGA optimized geometry
data_LaHoIrRh
_space_group_name_H-M_alt 'P 1'
_space_group_IT_number 1
_space_group_name_Hall 'P 1'
_cell_length_a 4.959
_cell_length_b 4.959
_cell_length_c 4.959
_cell_angle_alpha 60.00
_cell_angle_beta 60.00
_cell_angle_gamma 60.00
loop_
_atom_site_label
_atom_site_fract_x
_atom_site_fract_y
_atom_site_fract_z
La1 0.000 0.000 0.000
Ho1 0.500 0.500 0.500
Ir1 0.750 0.750 0.750
Rh1 0.250 0.250 0.250
# SG = F-43m
# Crystal system = cubic
# Formation energy = -730 meV/atom
# ρ = 11.537 Mg/m³
# Magnetization = 0.000 μB per atom
# Final energy = -28.64 eV/f.u.

---

Entry 7:
# MgSnRh2O6 PBE-GGA optimized geometry
data_MgSnRh2O6
_space_group_name_H-M_alt 'P 1'
_space_group_IT_number 1
_space_group_name_Hall 'P 1'
_cell_length_a 5.597
_cell_length_b 5.597
_cell_length_c 5.597
_cell_angle_alpha 56.30
_cell_angle_beta 56.30
_cell_angle_gamma 56.30
loop_
_atom_site_label
_atom_site_fract_x
_atom_site_fract_y
_atom_site_fract_z
Mg1 0.000 0.000 0.000
Sn1 0.501 0.501 0.501
Rh1 0.204 0.204 0.204
Rh2 0.703 0.703 0.703
O1 0.102 0.406 0.810
O2 0.308 0.906 0.602
O3 0.406 0.810 0.102
O4 0.602 0.308 0.906
O5 0.810 0.102 0.406
O6 0.906 0.602 0.308
# SG = R3
# Uncorrected formation energy = -1.36 eV per atom
# Crystal system = trigonal
# ρ = 6.515 Mg/m³
# Magnetization = 0.000 μB per atom
# Final energy = -63.64 eV/f.u.

---

Entry 8:
# SmH3Pd PBE-GGA optimized geometry
data_SmH3Pd
_space_group_name_H-M_alt 'P 1'
_space_group_IT_number 1
_space_group_name_Hall 'P 1'
_cell_length_a 6.215
_cell_length_b 6.215
_cell_length_c 4.945
_cell_angle_alpha 93.41
_cell_angle_beta 93.41
_cell_angle_gamma 35.67
loop_
_atom_site_label
_atom_site_fract_x
_atom_site_fract_y
_atom_site_fract_z
Sm1 0.000 0.000 0.000
Sm2 0.726 0.726 0.498
H1 0.166 0.166 0.271
H2 0.339 0.339 0.709
H3 0.556 0.556 0.232
H4 0.564 0.564 0.758
H5 0.783 0.783 0.016
H6 0.940 0.940 0.477
Pd1 0.284 0.284 0.031
Pd2 0.450 0.450 0.488
# SG = Cm
# Crystal system = monoclinic
# ρ = 7.762 Mg/m³
# Magnetization = 0.000 μB per atom
# Final energy = -22.65 eV/f.u.

---

Q: What is the formula in the seventh record?
A: MgSnRh2O6